MgScTe2 | Alexandria | meta-GGA SCAN | single point on PBEsol structure; uncorrected formation energy = -1.021 eV/atom; total DFT energy (no corrections) = -97.796 eV for the cell shown; SG = P4/mmm, No. 123
1.0
4.130 0.000 0.000
0.000 4.130 0.000
0.000 0.000 5.933
Mg Sc Te
1 1 2
Direct
0.000 0.000 0.000
0.500 0.500 0.500
0.000 0.000 0.500
0.500 0.500 0.000

MgScTe2 | Alexandria | meta-GGA SCAN | single point on PBEsol structure; uncorrected formation energy = -1.014 eV/atom; total DFT energy (no corrections) = -293.310 eV for the cell shown; SG = R-3m, No. 166
1.0
4.035 0.000 0.000
-2.018 3.495 0.000
0.000 0.000 21.496
Mg Sc Te
3 3 6
Direct
0.000 0.000 0.000
0.333 0.667 0.667
0.667 0.333 0.333
0.000 0.000 0.500
0.333 0.667 0.167
0.667 0.333 0.833
0.000 0.000 0.250
0.000 0.000 0.750
0.333 0.667 0.417
0.333 0.667 0.916
0.667 0.333 0.084
0.667 0.333 0.583

MgSc2Tl | Alexandria | meta-GGA SCAN | single point on PBEsol structure; total DFT energy (no corrections) = -107.301 eV for the cell shown; formation enthalpy at 0 K = -1.495 eV/f.u.; relative energy among the computed polymorphs = 0.0 meV/atom; SG = P4/mmm, No. 123
1.0
4.536 0.000 0.000
0.000 4.536 0.000
0.000 0.000 4.246
Mg Sc Tl
1 2 1
Direct
0.000 0.000 0.000
0.000 0.500 0.500
0.500 0.000 0.500
0.500 0.500 0.000

MgScTl2 | Alexandria | meta-GGA SCAN | single point on PBEsol structure; total DFT energy (no corrections) = -494.198 eV for the cell shown; formation enthalpy at 0 K = -0.805 eV/f.u.; SG = R-3m, No. 166
1.0
3.404 0.000 0.000
-1.702 2.948 0.000
0.000 0.000 28.458
Mg Sc Tl
3 3 6
Direct
0.000 0.000 0.000
0.333 0.667 0.667
0.667 0.333 0.333
0.000 0.000 0.500
0.333 0.667 0.167
0.667 0.333 0.833
0.000 0.000 0.250
0.000 0.000 0.750
0.333 0.667 0.416
0.333 0.667 0.917
0.667 0.333 0.083
0.667 0.333 0.584

MgSc2Tl | Alexandria | meta-GGA SCAN | single point on PBEsol structure; total DFT energy (no corrections) = -213.819 eV for the cell shown; formation enthalpy at 0 K = -1.103 eV/f.u.; relative energy among the computed polymorphs = 97.9 meV/atom; SG = Amm2, No. 38
1.0
4.646 0.000 0.000
0.000 3.346 0.000
0.000 0.000 11.724
Mg Sc Tl
2 4 2
Direct
0.000 0.000 0.000
0.000 0.500 0.500
0.000 0.000 0.255
0.000 0.500 0.755
0.500 0.000 0.604
0.500 0.500 0.104
0.500 0.000 0.856
0.500 0.500 0.356

MgScTl2 | Alexandria | meta-GGA SCAN | single point on PBEsol structure; total DFT energy (no corrections) = -329.799 eV for the cell shown; formation enthalpy at 0 K = -0.972 eV/f.u.; SG = Imm2, No. 44
1.0
3.777 0.000 0.000
0.000 4.680 0.000
0.000 0.000 10.537
Mg Sc Tl
2 2 4
Direct
0.000 0.000 0.000
0.500 0.500 0.500
0.000 0.500 0.753
0.500 0.000 0.253
0.000 0.000 0.492
0.000 0.500 0.243
0.500 0.000 0.743
0.500 0.500 0.992

MgScTl2 | Alexandria | meta-GGA SCAN | single point on PBEsol structure; total DFT energy (no corrections) = -329.861 eV for the cell shown; formation enthalpy at 0 K = -1.003 eV/f.u.; SG = I-4m2, No. 119
1.0
4.320 0.000 0.000
0.000 4.320 0.000
0.000 0.000 9.875
Mg Sc Tl
2 2 4
Direct
0.000 0.000 0.000
0.500 0.500 0.500
0.000 0.500 0.250
0.500 0.000 0.750
0.000 0.000 0.500
0.000 0.500 0.750
0.500 0.000 0.250
0.500 0.500 0.000

MgScTl | Alexandria | meta-GGA SCAN | single point on PBEsol structure; total DFT energy (no corrections) = -364.740 eV for the cell shown; formation enthalpy at 0 K = 0.384 eV/f.u.; SG = F-43m, No. 216
1.0
6.796 0.000 0.000
0.000 6.796 0.000
0.000 0.000 6.796
Mg Sc Tl
4 4 4
Direct
0.000 0.000 0.000
0.000 0.500 0.500
0.500 0.000 0.500
0.500 0.500 0.000
0.250 0.250 0.750
0.250 0.750 0.250
0.750 0.250 0.250
0.750 0.750 0.750
0.000 0.000 0.500
0.000 0.500 0.000
0.500 0.000 0.000
0.500 0.500 0.500

MgSc2Tl | Alexandria | meta-GGA SCAN | single point on PBEsol structure; total DFT energy (no corrections) = -214.291 eV for the cell shown; formation enthalpy at 0 K = -1.339 eV/f.u.; relative energy among the computed polymorphs = 38.9 meV/atom; SG = I4/mmm, No. 139
1.0
4.592 0.000 0.000
0.000 4.592 0.000
0.000 0.000 8.336
Mg Sc Tl
2 4 2
Direct
0.000 0.000 0.000
0.500 0.500 0.500
0.000 0.500 0.250
0.000 0.500 0.750
0.500 0.000 0.250
0.500 0.000 0.750
0.000 0.000 0.500
0.500 0.500 0.000

MgScTl2 | Alexandria | meta-GGA SCAN | single point on PBEsol structure; total DFT energy (no corrections) = -165.333 eV for the cell shown; formation enthalpy at 0 K = -1.406 eV/f.u.; SG = P4/mmm, No. 123
1.0
4.571 0.000 0.000
0.000 4.571 0.000
0.000 0.000 4.260
Mg Sc Tl
1 1 2
Direct
0.000 0.000 0.000
0.500 0.500 0.000
0.000 0.500 0.500
0.500 0.000 0.500

MgScTl | Alexandria | meta-GGA SCAN | single point on PBEsol structure; total DFT energy (no corrections) = -92.535 eV for the cell shown; formation enthalpy at 0 K = -0.966 eV/f.u.; SG = P3m1, No. 156
1.0
4.804 0.000 0.000
-2.402 4.161 0.000
0.000 0.000 3.338
Mg Sc Tl
1 1 1
Direct
0.000 0.000 0.000
0.333 0.667 0.498
0.667 0.333 0.992

MgScTl2 | Alexandria | meta-GGA SCAN | single point on PBEsol structure; total DFT energy (no corrections) = -329.892 eV for the cell shown; formation enthalpy at 0 K = -1.019 eV/f.u.; SG = Cm, No. 8
1.0
11.494 0.000 0.000
0.000 3.417 0.000
-1.748 0.000 4.758
Mg Sc Tl
2 2 4
Direct
0.000 0.000 0.000
0.500 0.500 0.000
0.249 0.000 0.610
0.749 0.500 0.610
0.006 0.500 0.516
0.257 0.500 0.119
0.506 0.000 0.516
0.757 0.000 0.119

The highest total DFT energy (no corrections) belongs to which entry? number 11

Among the records above, which one has the highest total DFT energy (no corrections)? number 11

What is the total DFT energy (no corrections) in the fourth record? -494.198 eV for the cell shown

total DFT energy (no corrections) of number 7 (MgScTl2)? -329.861 eV for the cell shown